The following is a DFT calculation (PBE-GGA) of SrCdBi2Pd2 after structural relaxation.

The structure belongs to space group P4/mmm (No. 123); the cell edges are 5.073, 5.073 and 6.590 Å and the angles 90.00°, 90.00° and 90.00°. Symmetry generates all atoms from Sr at (0.000, 0.000, 0.000), Cd at (0.000, 0.000, 0.500), Bi at (0.500, 0.500, 0.252) and Pd at (0.000, 0.500, 0.500).

The value obtained for the total DFT energy (no corrections) is -3.73 eV per atom. The calculation puts the volume at 170 Å³/cell.